Record 1
The following is a GGA-PBE calculation of Sr2CePt after structural relaxation, from Alexandria via LeMat-Bulk.

Properties
**Energy**: -0.287 Ry/atom
**Space group**: R-3m, No. 166
**DOS at the Fermi energy**: 22.56 states/eV per cell
**Spin magnetization**: 5.617 μB/cell
**Formation energy**: -0.06 eV per atom

```
12
Lattice="3.980 0.000 0.000 -1.990 3.446 0.000 0.000 0.000 33.918" Properties=species:S:1:pos:R:3 pbc="T T T"
Sr 0.000 0.000 3.788
Sr 0.000 0.000 30.130
Sr 0.000 2.298 18.824
Sr 0.000 2.298 26.399
Sr 1.990 1.149 7.518
Sr 1.990 1.149 15.094
Ce 0.000 0.000 0.000
Ce 0.000 2.298 22.612
Ce 1.990 1.149 11.306
Pt 0.000 0.000 16.959
Pt 0.000 2.298 5.653
Pt 1.990 1.149 28.265
```

***

Record 2
The following is a GGA-PBE calculation of SrCePt2 after structural relaxation, from Alexandria via LeMat-Bulk.

Properties
**Energy relative to the lowest polymorph listed for this composition**: 0.0 meV/atom
**Energy**: -0.432 Ry/atom
**Space group**: P4/mmm, No. 123
**DOS at the Fermi energy**: 5.95 states/eV per cell
**Spin magnetization**: 0.506 μB/cell
**Formation energy**: -0.95 eV per atom

```
4
Lattice="3.616 0.000 0.000 0.000 3.616 0.000 0.000 0.000 7.409" Properties=species:S:1:pos:R:3 pbc="T T T"
Sr 0.000 0.000 0.000
Ce 0.000 0.000 3.705
Pt 1.808 1.808 2.145
Pt 1.808 1.808 5.264
```

***

Record 3
The following is a GGA-PBE calculation of SrCePt4 after structural relaxation, from Alexandria via LeMat-Bulk.

Properties
**Energy**: -0.458 Ry/atom
**Space group**: F-43m, No. 216
**DOS at the Fermi energy**: 7.51 states/eV per cell
**Spin magnetization**: 0.653 μB/cell
**Formation energy**: -0.94 eV per atom

```
6
Lattice="0.000 3.910 3.910 3.910 0.000 3.910 3.910 3.910 0.000" Properties=species:S:1:pos:R:3 pbc="T T T"
Sr 0.000 0.000 0.000
Ce 5.865 5.865 5.865
Pt 2.932 2.932 2.932
Pt 4.887 4.887 2.932
Pt 4.887 2.932 4.887
Pt 2.932 4.887 4.887
```

***

Record 4
The following is a GGA-PBE calculation of SrCePt2 after structural relaxation, from Alexandria via LeMat-Bulk.

Properties
**Energy relative to the lowest polymorph listed for this composition**: 31.8 meV/atom
**Energy**: -0.429 Ry/atom
**Space group**: R-3m, No. 166
**DOS at the Fermi energy**: 12.10 states/eV per cell
**Spin magnetization**: 0.595 μB/cell
**Formation energy**: -0.92 eV per atom

```
12
Lattice="4.149 0.000 0.000 -2.075 3.593 0.000 0.000 0.000 21.634" Properties=species:S:1:pos:R:3 pbc="T T T"
Sr 0.000 0.000 0.000
Sr 0.000 2.396 14.422
Sr 2.075 1.198 7.211
Ce 0.000 0.000 10.817
Ce 0.000 2.396 3.606
Ce 2.075 1.198 18.028
Pt 0.000 0.000 5.173
Pt 0.000 0.000 16.461
Pt 0.000 2.396 9.250
Pt 0.000 2.396 19.595
Pt 2.075 1.198 2.038
Pt 2.075 1.198 12.384
```

***

Record 5
The following is a GGA-PBE calculation of SrCe2Pt4 after structural relaxation, from Alexandria via LeMat-Bulk.

Properties
**Energy**: -0.471 Ry/atom
**Space group**: Immm, No. 71
**DOS at the Fermi energy**: 17.09 states/eV per cell
**Spin magnetization**: 1.048 μB/cell
**Formation energy**: -1.02 eV per atom

```
14
Lattice="3.974 0.000 0.000 0.000 4.392 0.000 0.000 0.000 18.971" Properties=species:S:1:pos:R:3 pbc="T T T"
Sr 0.000 0.000 0.000
Sr 1.987 2.196 9.486
Ce 0.000 2.196 3.466
Ce 0.000 2.196 15.505
Ce 1.987 0.000 6.020
Ce 1.987 0.000 12.952
Pt 0.000 0.000 8.156
Pt 0.000 0.000 10.815
Pt 0.000 2.196 6.353
Pt 0.000 2.196 12.618
Pt 1.987 0.000 3.132
Pt 1.987 0.000 15.839
Pt 1.987 2.196 1.330
Pt 1.987 2.196 17.642
```

***

Record 6
The following is a GGA-PBE calculation of SrCeZnPt after structural relaxation, from Alexandria via LeMat-Bulk.

Properties
**Energy**: -0.310 Ry/atom
**Space group**: F-43m, No. 216
**DOS at the Fermi energy**: 29.86 states/eV per cell
**Spin magnetization**: 3.348 μB/cell
**Formation energy**: -0.48 eV per atom

```
16
Lattice="7.336 0.000 0.000 0.000 7.336 0.000 0.000 0.000 7.336" Properties=species:S:1:pos:R:3 pbc="T T T"
Sr 0.000 0.000 0.000
Sr 0.000 3.668 3.668
Sr 3.668 0.000 3.668
Sr 3.668 3.668 0.000
Ce 0.000 0.000 3.668
Ce 0.000 3.668 0.000
Ce 3.668 0.000 0.000
Ce 3.668 3.668 3.668
Zn 1.834 1.834 5.502
Zn 1.834 5.502 1.834
Zn 5.502 1.834 1.834
Zn 5.502 5.502 5.502
Pt 1.834 1.834 1.834
Pt 1.834 5.502 5.502
Pt 5.502 1.834 5.502
Pt 5.502 5.502 1.834
```

***

Record 7
The following is a GGA-PBE calculation of Sr3Ce2Zn2Pt4 after structural relaxation, from Alexandria via LeMat-Bulk.

Properties
**Energy**: -0.343 Ry/atom
**Space group**: P-3m1, No. 164
**DOS at the Fermi energy**: 15.01 states/eV per cell
**Spin magnetization**: 2.051 μB/cell
**Formation energy**: -0.70 eV per atom

```
11
Lattice="4.416 0.000 0.000 -2.208 3.824 0.000 0.000 0.000 17.202" Properties=species:S:1:pos:R:3 pbc="T T T"
Sr 0.000 0.000 0.000
Sr 0.000 0.000 4.261
Sr 0.000 0.000 12.941
Ce 0.000 2.549 9.725
Ce 2.208 1.275 7.477
Zn 0.000 2.549 2.150
Zn 2.208 1.275 15.052
Pt 0.000 2.549 6.283
Pt 0.000 2.549 15.082
Pt 2.208 1.275 2.120
Pt 2.208 1.275 10.920
```

***

Record 8
The following is a GGA-PBE calculation of SrCeZn2Pt2 after structural relaxation, from Alexandria via LeMat-Bulk.

Properties
**Energy**: -0.330 Ry/atom
**Space group**: P-3m1, No. 164
**DOS at the Fermi energy**: 7.78 states/eV per cell
**Spin magnetization**: 0.533 μB/cell
**Formation energy**: -0.78 eV per atom

```
6
Lattice="4.485 0.000 0.000 -2.243 3.885 0.000 0.000 0.000 7.780" Properties=species:S:1:pos:R:3 pbc="T T T"
Sr 0.000 0.000 0.000
Ce 0.000 0.000 3.890
Zn 0.000 2.590 5.659
Zn 2.243 1.295 2.120
Pt 0.000 2.590 2.295
Pt 2.243 1.295 5.485
```

***

Record 9
The following is a GGA-PBE calculation of CeTaPt2 after structural relaxation, from Alexandria via LeMat-Bulk.

Properties
**Energy**: -0.600 Ry/atom
**Space group**: R-3m, No. 166
**DOS at the Fermi energy**: 20.37 states/eV per cell
**Spin magnetization**: 2.478 μB/cell
**Formation energy**: -0.70 eV per atom

```
12
Lattice="4.488 0.000 0.000 -2.244 3.887 0.000 0.000 0.000 14.943" Properties=species:S:1:pos:R:3 pbc="T T T"
Ce 0.000 0.000 0.000
Ce 0.000 2.591 9.962
Ce 2.244 1.296 4.981
Ta 0.000 0.000 7.472
Ta 0.000 2.591 2.491
Ta 2.244 1.296 12.453
Pt 0.000 0.000 3.147
Pt 0.000 0.000 11.796
Pt 0.000 2.591 6.815
Pt 0.000 2.591 13.109
Pt 2.244 1.296 1.834
Pt 2.244 1.296 8.128
```

***

Record 10
The following is a GGA-PBE calculation of Ce2TaPt after structural relaxation, from Alexandria via LeMat-Bulk.

Properties
**Energy**: -0.541 Ry/atom
**Space group**: R-3m, No. 166
**DOS at the Fermi energy**: 20.23 states/eV per cell
**Spin magnetization**: 0.000 μB/cell
**Formation energy**: 0.08 eV per atom

```
12
Lattice="2.993 0.000 0.000 -1.496 2.592 0.000 0.000 0.000 32.554" Properties=species:S:1:pos:R:3 pbc="T T T"
Ce 0.000 0.000 2.877
Ce 0.000 0.000 29.677
Ce 0.000 1.728 18.825
Ce 0.000 1.728 24.580
Ce 1.496 0.864 7.974
Ce 1.496 0.864 13.729
Ta 0.000 0.000 0.000
Ta 0.000 1.728 21.703
Ta 1.496 0.864 10.851
Pt 0.000 0.000 16.277
Pt 0.000 1.728 5.426
Pt 1.496 0.864 27.129
```

***

Record 11
The following is a GGA-PBE calculation of Tb3CePt12 after structural relaxation, from Alexandria via LeMat-Bulk.

Properties
**Energy**: -0.499 Ry/atom
**Space group**: P4/mmm, No. 123
**DOS at the Fermi energy**: 10.87 states/eV per cell
**Spin magnetization**: 0.000 μB/cell
**Formation energy**: -1.02 eV per atom

```
16
Lattice="4.143 0.000 0.000 0.000 4.143 0.000 0.000 0.000 16.551" Properties=species:S:1:pos:R:3 pbc="T T T"
Tb 0.000 0.000 0.000
Tb 0.000 0.000 4.102
Tb 0.000 0.000 12.449
Ce 0.000 0.000 8.276
Pt 0.000 2.071 2.057
Pt 0.000 2.071 6.208
Pt 0.000 2.071 10.343
Pt 0.000 2.071 14.494
Pt 2.071 0.000 2.057
Pt 2.071 0.000 6.208
Pt 2.071 0.000 10.343
Pt 2.071 0.000 14.494
Pt 2.071 2.071 0.000
Pt 2.071 2.071 4.123
Pt 2.071 2.071 8.276
Pt 2.071 2.071 12.428
```

***

Record 12
The following is a GGA-PBE calculation of Tb3CePt8 after structural relaxation, from Alexandria via LeMat-Bulk.

Properties
**Energy relative to the lowest polymorph listed for this composition**: 58.2 meV/atom
**Energy**: -0.494 Ry/atom
**Space group**: P3m1, No. 156
**DOS at the Fermi energy**: 9.98 states/eV per cell
**Spin magnetization**: 0.687 μB/cell
**Formation energy**: -1.04 eV per atom

```
12
Lattice="5.467 0.000 0.000 -2.734 4.735 0.000 0.000 0.000 8.942" Properties=species:S:1:pos:R:3 pbc="T T T"
Tb 0.000 0.000 0.000
Tb 0.000 0.000 3.284
Tb 0.000 3.157 7.817
Ce 0.000 3.157 4.467
Pt -1.352 2.376 1.650
Pt 1.348 0.778 6.132
Pt 1.352 2.376 1.650
Pt 0.000 4.718 1.650
Pt 2.734 1.578 3.892
Pt 2.734 1.578 8.350
Pt 4.119 0.778 6.132
Pt 2.734 3.178 6.132
```